a) Here is an optimized crystal structure of TbSc6 from the Alexandria database. Energies are from PBE.

Structure (POSCAR):
```
TbSc6
1.0
6.0542 0.0000 0.0000
0.0000 6.0542 0.0000
0.0000 0.0000 10.1513
Tb Sc
2 12
direct
0.5000 0.0000 0.0000
0.0000 0.5000 0.0000
0.5000 0.5000 0.1443
0.0000 0.0000 0.1443
0.0000 0.0000 0.8557
0.5000 0.5000 0.8557
0.8319 0.6681 0.3636
0.3319 0.8319 0.3636
0.6681 0.1681 0.3636
0.1681 0.3319 0.3636
0.6681 0.8319 0.6364
0.1681 0.6681 0.6364
0.8319 0.3319 0.6364
0.3319 0.1681 0.6364
```

***

b) Here is an optimized crystal structure of TbSc6 from the Alexandria database. Energies are from PBE.

Structure (POSCAR):
```
TbSc6
1.0
-3.4112 -4.8935 2.0442
3.6385 2.1308 4.6886
-3.8630 4.5995 -1.9193
Tb Sc
1 6
direct
0.0000 0.0000 0.0000
0.2500 0.7500 0.5000
0.5000 0.7500 0.2500
0.2500 0.5000 0.7500
0.7500 0.2500 0.5000
0.5000 0.2500 0.7500
0.7500 0.5000 0.2500
```

***

Of them, the most stable is a) and the least stable is b).

***

a) Here is an optimized crystal structure of Tb4Sc5 from the Alexandria database. Energies are from PBE.

Structure (POSCAR):
```
Tb4Sc5
1.0
4.4568 0.0000 1.8559
2.2284 7.1792 0.9279
-0.5314 0.0000 7.5554
Tb Sc
4 5
direct
0.0000 0.6741 0.3259
0.0000 0.3259 0.6741
0.6741 0.3259 0.3259
0.3259 0.6741 0.6741
0.0000 0.0000 0.0000
0.6631 0.0000 0.6738
0.6631 0.6738 0.0000
0.3369 0.3262 0.0000
0.3369 0.0000 0.3262
```

***

b) Here is an optimized crystal structure of Tb4Sc5 from the Alexandria database. Energies are from PBE.

Structure (POSCAR):
```
Tb4Sc5
1.0
6.6572 0.0000 0.0000
0.0000 9.2821 0.0000
0.0000 -4.6411 8.0385
Tb Sc
8 10
direct
0.0000 0.0000 0.0000
0.5000 0.0000 0.0000
0.7500 0.3607 0.3607
0.7500 0.0000 0.6393
0.7500 0.6393 0.0000
0.2500 0.6393 0.6393
0.2500 0.0000 0.3607
0.2500 0.3607 0.0000
0.7500 0.6863 0.6863
0.7500 0.0000 0.3137
0.7500 0.3137 0.0000
0.2500 0.3137 0.3137
0.2500 0.0000 0.6863
0.2500 0.6863 0.0000
0.0000 0.6667 0.3333
0.5000 0.3333 0.6667
0.0000 0.3333 0.6667
0.5000 0.6667 0.3333
```

***

Of them, the most stable is a) and the least stable is b).

***

a) Here is an optimized crystal structure of Tb2Sc3 from the Alexandria database. Energies are from PBE.

Structure (POSCAR):
```
Tb2Sc3
1.0
0.2095 -3.2675 -0.3943
4.0083 -0.9137 -4.0900
10.6549 -2.2208 10.2735
Tb Sc
4 6
direct
0.3903 0.4611 0.8967
0.7481 0.5389 0.1033
0.0370 0.9611 0.6033
0.6014 0.0389 0.3967
0.5702 0.9295 0.8038
0.3036 0.0705 0.1962
0.1240 0.4295 0.6962
0.2498 0.5705 0.3038
0.9878 0.0000 0.0000
0.7378 0.5000 0.5000
```

***

b) Here is an optimized crystal structure of Tb2Sc3 from the Alexandria database. Energies are from PBE.

Structure (POSCAR):
```
Tb2Sc3
1.0
-0.7509 0.7841 5.8401
-1.8148 -5.0262 3.4625
6.8179 -4.1128 4.4498
Tb Sc
4 6
direct
0.7703 0.7535 0.0506
0.5743 0.7465 0.4494
0.4257 0.2535 0.5506
0.2297 0.2465 0.9494
0.3743 0.7394 0.8492
0.9629 0.7606 0.6508
0.8371 0.2500 0.7500
0.1629 0.7500 0.2500
0.0371 0.2394 0.3492
0.6257 0.2606 0.1508
```

***

Of them, the most stable is b) and the least stable is a).

***

a) Here is an optimized crystal structure of Tb3Sc2 from the Alexandria database. Energies are from PBE.

Structure (POSCAR):
```
Tb3Sc2
1.0
-8.7094 0.5141 -2.4419
-0.9912 -5.3594 2.4474
3.2169 5.6861 4.0349
Tb Sc
6 4
direct
0.3755 0.3790 0.6090
0.5719 0.5723 0.3903
0.5781 0.0777 0.9097
0.1734 0.6766 0.3013
0.9766 0.9734 0.9987
0.7745 0.2710 0.6910
0.1705 0.1704 0.7945
0.7804 0.7816 0.2081
0.9795 0.4796 0.5055
0.3696 0.8684 0.0919
```

***

b) Here is an optimized crystal structure of Tb3Sc2 from the Alexandria database. Energies are from PBE.

Structure (POSCAR):
```
Tb3Sc2
1.0
6.0612 0.0000 0.0000
3.0306 5.7273 0.4003
3.0306 2.0902 8.5177
Tb Sc
6 4
direct
0.3617 0.7613 0.8507
0.9737 0.7387 0.6493
0.8232 0.2500 0.7500
0.1768 0.7500 0.2500
0.0263 0.2613 0.3507
0.6383 0.2387 0.1493
0.7660 0.7465 0.0493
0.5618 0.7535 0.4507
0.4382 0.2465 0.5493
0.2340 0.2535 0.9507
```

***

Of them, the most stable is b) and the least stable is a).

***

a) Here is an optimized crystal structure of Tb7Sc5 from the Alexandria database. Energies are from PBE.

Structure (POSCAR):
```
Tb7Sc5
1.0
4.7185 0.0000 1.1411
1.9419 7.0573 2.2963
0.0004 -0.0254 10.3240
Tb Sc
7 5
direct
0.9985 0.0065 0.9964
0.4153 0.9239 0.2454
0.8323 0.8335 0.5018
0.2487 0.7456 0.7569
0.0901 0.5782 0.2416
0.5007 0.4949 0.5036
0.1643 0.1661 0.5053
0.6715 0.6602 0.9967
0.9160 0.4124 0.7557
0.3332 0.3375 0.9961
0.7514 0.2547 0.2425
0.5778 0.0865 0.7579
```

***

b) Here is an optimized crystal structure of Tb7Sc5 from the Alexandria database. Energies are from PBE.

Structure (POSCAR):
```
Tb7Sc5
1.0
-0.4782 4.7115 -2.6447
2.3629 -4.2365 -2.4122
-13.6765 -2.7676 -2.4577
Tb Sc
7 5
direct
0.2243 0.4485 0.6699
0.7757 0.5515 0.3301
0.0691 0.1382 0.2121
0.9309 0.8618 0.7879
0.6916 0.3831 0.0762
0.5000 0.0000 0.5000
0.3084 0.6169 0.9238
0.1477 0.2954 0.4443
0.8523 0.7046 0.5557
0.3953 0.7906 0.1901
0.6047 0.2094 0.8099
0.0000 0.0000 0.0000
```

***

Of them, the most stable is a) and the least stable is b).

***

a) Here is an optimized crystal structure of Tb2ScTc from the Alexandria database. Energies are from PBE.

Structure (POSCAR):
```
Tb2ScTc
1.0
-6.1790 -0.2450 0.1148
0.1743 -1.0618 7.1131
-0.3313 8.9870 1.3497
Tb Sc Tc
8 4 4
direct
0.1639 0.6794 0.0626
0.3361 0.1794 0.4374
0.8361 0.3206 0.5626
0.6639 0.8206 0.9374
0.8361 0.3206 0.9374
0.6639 0.8206 0.5626
0.1639 0.6794 0.4374
0.3361 0.1794 0.0626
0.6360 0.5478 0.2500
0.8640 0.0478 0.2500
0.3640 0.4522 0.7500
0.1360 0.9522 0.7500
0.0199 0.3838 0.2500
0.4801 0.8838 0.2500
0.9801 0.6162 0.7500
0.5199 0.1162 0.7500
```

***

b) Here is an optimized crystal structure of Tb2ScTc from the Alexandria database. Energies are from PBE.

Structure (POSCAR):
```
Tb2ScTc
1.0
3.4767 0.0000 0.0000
0.0000 3.4767 0.0000
0.0000 0.0000 8.1779
Sc Tb Tc
1 2 1
direct
0.5000 0.5000 0.5000
0.0000 0.0000 0.7991
0.0000 0.0000 0.2009
0.5000 0.5000 0.0000
```

***

Of them, the most stable is a) and the least stable is b).

***

a) Here is an optimized crystal structure of TbScTe from the Alexandria database. Energies are from PBE.

Structure (POSCAR):
```
TbScTe
1.0
-2.9684 -0.8773 2.1827
1.6406 -3.2906 0.9087
3.0994 4.4787 2.7290
Sc Te Tb
1 1 1
direct
0.3170 0.3170 0.6340
0.6830 0.6830 0.3660
0.0000 0.0000 0.0000
```

***

b) Here is an optimized crystal structure of TbScTe from the Alexandria database. Energies are from PBE.

Structure (POSCAR):
```
TbScTe
1.0
-0.7876 2.4905 3.3603
-3.8044 0.9943 -1.6286
-3.4304 -6.5232 4.0306
Tb Sc Te
2 2 2
direct
0.0000 0.5000 0.8611
0.5000 0.0000 0.1389
0.5000 0.5000 0.5000
0.0000 0.0000 0.5000
0.0000 0.5000 0.2406
0.5000 0.0000 0.7594
```

***

c) Here is an optimized crystal structure of TbScTe from the Alexandria database. Energies are from PBE.

Structure (POSCAR):
```
TbScTe
1.0
3.9886 0.0000 0.0000
0.0000 7.6516 -0.5391
-1.9943 -1.3215 10.7200
Tb Sc Te
4 4 4
direct
0.8961 0.5486 0.7922
0.5327 0.7414 0.0654
0.4673 0.2586 0.9346
0.1039 0.4514 0.2078
0.7238 0.3512 0.4476
0.1870 0.0086 0.3740
0.2762 0.6488 0.5524
0.8130 0.9914 0.6260
0.6833 0.7186 0.3665
0.4021 0.8689 0.8041
0.3167 0.2814 0.6335
0.5979 0.1311 0.1959
```

***

Of them, the most stable is b) and the least stable is a).

***

a) Here is an optimized crystal structure of Tb2ScTe from the Alexandria database. Energies are from PBE.

Structure (POSCAR):
```
Tb2ScTe
1.0
-0.3226 -1.7887 -3.3831
2.8418 0.2308 -2.5728
4.8424 -8.2858 1.7392
Tb Sc Te
2 1 1
direct
0.0758 0.0758 0.7727
0.2578 0.2578 0.2267
0.4996 0.4996 0.5011
0.6669 0.6669 0.9994
```

***

b) Here is an optimized crystal structure of Tb2ScTe from the Alexandria database. Energies are from PBE.

Structure (POSCAR):
```
Tb2ScTe
1.0
3.9495 0.0000 0.0000
0.0000 3.9495 0.0000
0.0000 0.0000 7.0762
Sc Te Tb
1 1 2
direct
0.5000 0.5000 0.0000
0.5000 0.5000 0.5000
0.0000 0.0000 0.7441
0.0000 0.0000 0.2559
```

***

Of them, the most stable is b) and the least stable is a).

***

a) Here is an optimized crystal structure of Tb2ScTe from the Alexandria database. Energies are from PBE.

Structure (POSCAR):
```
Tb2ScTe
1.0
3.7848 0.0149 -0.0012
0.0294 6.7959 -1.1499
-1.9118 -4.1421 10.3260
Tb Sc Te
4 2 2
direct
0.2287 0.9499 0.8144
0.9994 0.9243 0.3676
0.4812 0.3876 0.3273
0.7105 0.4132 0.7742
0.8628 0.9374 0.0709
0.8472 0.4001 0.0708
0.6058 0.9061 0.5744
0.1041 0.4314 0.5674
```

***

b) Here is an optimized crystal structure of Tb2ScTe from the Alexandria database. Energies are from PBE.

Structure (POSCAR):
```
Tb2ScTe
1.0
3.7917 0.0000 0.0000
1.8959 3.2837 0.0000
1.8959 1.0946 10.3440
Sc Te Tb
1 1 2
direct
0.0000 0.0000 0.0000
0.5000 0.5000 0.5000
0.0988 0.0988 0.7035
0.9012 0.9012 0.2965
```

***

Of them, the most stable is a) and the least stable is b).

***

a) Here is an optimized crystal structure of Tb5ThSc4 from the Alexandria database. Energies are from PBE.

Structure (POSCAR):
```
Tb5ThSc4
1.0
-2.6153 -5.1691 2.2935
-2.1143 -5.0304 -5.2856
4.9292 -5.5815 1.5042
Tb Th Sc
5 1 4
direct
0.8025 0.3934 0.8993
0.1958 0.8993 0.6066
0.7017 0.1007 0.3934
0.0951 0.6066 0.1007
0.6940 0.0000 0.0000
0.2273 0.0000 0.0000
0.3906 0.4148 0.7009
0.8054 0.7009 0.5852
0.0915 0.2991 0.4148
0.5064 0.5852 0.2991
```

***

b) Here is an optimized crystal structure of Tb5ThSc4 from the Alexandria database. Energies are from PBE.

Structure (POSCAR):
```
Tb5ThSc4
1.0
3.3217 0.0006 -0.7736
-1.4058 9.0702 -6.0425
0.8614 -2.5773 11.2172
Tb Th Sc
5 1 4
direct
0.2081 0.2990 0.4159
0.1906 0.8009 0.3814
0.8094 0.1991 0.6186
0.5000 0.5000 0.0000
0.7919 0.7010 0.5841
0.5000 0.0000 0.0000
0.6035 0.9095 0.2071
0.0787 0.3639 0.1579
0.3965 0.0905 0.7929
0.9213 0.6361 0.8421
```

***

Of them, the most stable is b) and the least stable is a).

***

a) Here is an optimized crystal structure of Tb5Th2Sc2 from the Alexandria database. Energies are from PBE.

Structure (POSCAR):
```
Tb5Th2Sc2
1.0
12.7609 0.0000 0.0000
0.0000 5.8270 0.0000
-6.3804 -2.9135 7.5033
Tb Th Sc
10 4 4
direct
0.2772 0.7812 0.9146
0.7228 0.8666 0.0854
0.1374 0.2812 0.9146
0.8626 0.3666 0.0854
0.3333 0.1044 0.2876
0.6667 0.8168 0.7124
0.4543 0.6044 0.2876
0.5457 0.3168 0.7124
0.0690 0.7580 0.5000
0.9310 0.2580 0.5000
0.0000 0.8667 0.0000
0.5000 0.3667 0.0000
0.1975 0.2308 0.5000
0.8025 0.7308 0.5000
0.1954 0.6013 0.2911
0.8046 0.3102 0.7089
0.5957 0.1013 0.2911
0.4043 0.8102 0.7089
```

***

b) Here is an optimized crystal structure of Tb5Th2Sc2 from the Alexandria database. Energies are from PBE.

Structure (POSCAR):
```
Tb5Th2Sc2
1.0
-3.2133 0.6615 -0.8348
-0.8486 -4.7950 -7.3970
-4.2549 -8.4102 2.8497
Tb Th Sc
5 2 2
direct
0.3395 0.9853 0.3357
0.6605 0.0147 0.6643
0.2766 0.3441 0.1027
0.7234 0.6559 0.8973
0.0000 0.0000 0.0000
0.1070 0.3277 0.4584
0.8930 0.6723 0.5416
0.4410 0.3579 0.7601
0.5590 0.6421 0.2399
```

***

Of them, the most stable is b) and the least stable is a).